Density functional theory data (GGA-PBE) for an optimized crystal structure of Cr2CoMo2.

Summary:
energy above the most stable polymorph in this dataset	0.019	eV per atom
volume	141	Å³/cell
energy relative to the elements	0.6739	eV/atom
magnetic moment	1.93	μB per cell
uncorrected energy	-8.929	eV per atom

Cell: 3.018 3.018 15.452 Å, 90.00 90.00 90.00°
Positions (direct):
Cr 0.000 0.500 0.250
Cr 0.000 0.500 0.750
Cr 0.500 0.000 0.250
Cr 0.500 0.000 0.750
Co 0.000 0.000 0.000
Co 0.500 0.500 0.500
Mo 0.000 0.000 0.398
Mo 0.000 0.000 0.602
Mo 0.500 0.500 0.102
Mo 0.500 0.500 0.898